# SrAlP2O

Crystalline SrAlP2O at its relaxed geometry (PBE, the Alexandria database).

## Properties
- Final energy: -3.4850 eV/atom
- Energy relative to the elements, uncorrected: 0.755 eV per atom
- Magnetization: 3.0 μB/cell
- Space-group type: No. 123

a b c (Å): 5.6768 5.6768 4.3804
angles (deg): 90.00 90.00 90.00
Last column: nearest neighbours and their distance in Å.
Fractional coordinates of all 5 atoms:
P (0.0000, 0.5000, 0.0000)  2 Sr 2.84
P (0.5000, 0.0000, 0.0000)  2 Sr 2.84
O (0.0000, 0.0000, 0.5000)  2 Sr 2.19
Al (0.5000, 0.5000, 0.5000)  8 P 3.59, 4 O 4.01
Sr (0.0000, 0.0000, 0.0000)  2 O 2.19